10
Lattice="-4.6776 5.7070 -0.2631 -4.2951 -3.7371 -4.7016 -1.5274 -1.1456 2.3059" Properties=species:S:1:pos:R:3 comment="PBE-GGA Al2Ag2Pt, relaxed" energy_ev_per_atom=-3.9017 crystal_system=tetragonal magmom_total_mub_per_fu=0.0 spacegroup="P4/mbm, No. 127" pbc="T T T"
Ag -5.4555 -1.1423 -4.1811
Ag -6.7749 2.5981 -3.1968
Ag -3.5172 3.1122 -0.7836
Ag -2.1978 -0.6282 -1.7679
Pt 0.0000 0.0000 0.0000
Pt -4.4864 0.9849 -2.4823
Al -4.4521 -2.1031 -2.0504
Al -7.4633 0.1653 -2.9180
Al -6.0480 2.9273 -0.6084
Al -3.0368 0.6589 0.2592

=====

4
Lattice="6.4830 -0.2697 0.0000 2.9708 5.7686 0.0000 -4.7269 -2.7494 3.4928" Properties=species:S:1:pos:R:3 comment="PBE-GGA Ba2ZrMn, relaxed" energy_ev_per_atom=-4.5393 crystal_system=tetragonal magmom_total_mub_per_fu=2.3 spacegroup="I4/mmm, No. 139" pbc="T T T"
Ba 0.0000 0.0000 0.0000
Ba 4.7269 2.7494 0.0000
Mn 1.4854 2.8843 1.7464
Zr 3.2415 -0.1349 1.7464

=====

20
Lattice="6.2878 0.0000 0.0000 0.0000 10.8721 -1.8341 0.0000 -4.2140 10.1887" Properties=species:S:1:pos:R:3 comment="PBE-GGA LaY6Tm3, relaxed" energy_ev_per_atom=-5.5658 crystal_system=orthorhombic magmom_total_mub_per_fu=0.0 spacegroup="Cmc2_1, No. 36" pbc="T T T"
La 1.3164 -1.0205 7.6436
La 4.4603 7.6786 0.7109
Y 0.0308 5.1004 5.0908
Y 3.1747 3.8243 6.1078
Y 2.2535 1.9902 8.9937
Y 5.3974 8.3228 3.9470
Y 2.5326 10.1383 -1.2493
Y 4.0508 0.5021 6.4302
Y 0.9069 6.1560 1.9244
Y 5.6765 -3.4801 9.6039
Y 2.2535 -1.6647 4.4076
Y 5.3974 4.6679 -0.6392
Y 0.0308 2.8339 2.2468
Y 3.1747 1.5578 3.2638
Tm 2.8065 7.0569 5.5002
Tm 5.9504 3.7868 8.1064
Tm 0.6900 1.6038 5.5522
Tm 3.8339 5.0543 2.8023
Tm 5.9504 -0.3988 2.8543
Tm 2.8065 2.8714 0.2482

=====

5
Lattice="5.4524 0.0000 0.0000 0.0000 5.4524 0.0000 0.0000 0.0000 5.4524" Properties=species:S:1:pos:R:3 comment="PBE-GGA Tb4Br, relaxed" raw_formation_energy_mev_per_atom=-204 crystal_system=cubic magmom_total_mub_per_fu=0.0 spacegroup="Pm-3m, No. 221" pbc="T T T"
Tb 0.0000 0.0000 0.0000
Tb 2.7262 0.0000 2.7262
Tb 0.0000 2.7262 2.7262
Tb 2.7262 2.7262 0.0000
Br 2.7262 2.7262 2.7262